Record 1
Density functional theory data (PBE-GGA) for PmZrFe10 after structural relaxation.

The structure in POSCAR format:
```
PmZrFe10
1.0
3.9578 0.0000 0.0000
0.0000 4.9612 0.0000
0.0000 0.0000 8.5826
Pm Zr Fe
1 1 10
direct
0.0000 0.0000 0.0000
0.0000 0.5000 0.5000
0.0000 0.0000 0.3402
0.0000 0.0000 0.6598
0.0000 0.5000 0.1748
0.0000 0.5000 0.8252
0.5000 0.0000 0.5000
0.5000 0.2538 0.2580
0.5000 0.2538 0.7420
0.5000 0.5000 0.0000
0.5000 0.7462 0.2580
0.5000 0.7462 0.7420
```

Record 2
Density functional theory data (PBE-GGA) for PmZr2Fe after structural relaxation.

The structure in POSCAR format:
```
PmZr2Fe
1.0
2.0357 1.1753 6.6796
-2.0357 1.1753 6.6796
0.0000 -2.3506 6.6796
Pm Zr Fe
1 2 1
direct
0.0000 0.0000 0.0000
0.2165 0.2165 0.2165
0.7835 0.7835 0.7835
0.5000 0.5000 0.5000
```

Record 3
Density functional theory data (PBE-GGA) for PmZr2Fe after structural relaxation.

The structure in POSCAR format:
```
PmZr2Fe
1.0
3.2723 0.0000 0.0000
0.0000 3.2723 0.0000
0.0000 0.0000 8.2509
Pm Zr Fe
1 2 1
direct
0.0000 0.0000 0.0000
0.5000 0.5000 0.3174
0.5000 0.5000 0.6826
0.0000 0.0000 0.5000
```

Record 4
Density functional theory data (PBE-GGA) for PmZrFe4 after structural relaxation.

The structure in POSCAR format:
```
PmZrFe4
1.0
0.0000 3.6092 3.6092
3.6092 0.0000 3.6092
3.6092 3.6092 0.0000
Pm Zr Fe
1 1 4
direct
0.0000 0.0000 0.0000
0.2500 0.2500 0.2500
0.1266 0.6245 0.6245
0.6245 0.1266 0.6245
0.6245 0.6245 0.1266
0.6245 0.6245 0.6245
```

Record 5
Density functional theory data (PBE-GGA) for PrFe4 after structural relaxation.

The structure in POSCAR format:
```
PrFe4
1.0
4.7158 0.0000 0.0000
0.0000 4.7158 0.0000
0.0000 0.0000 4.7158
Pr Fe
1 4
direct
0.0000 0.0000 0.0000
0.0000 0.0000 0.5000
0.0000 0.5000 0.0000
0.5000 0.0000 0.0000
0.5000 0.5000 0.5000
```

Record 6
Density functional theory data (PBE-GGA) for PrFe6 after structural relaxation.

The structure in POSCAR format:
```
PrFe6
1.0
-3.0277 3.0277 3.0277
3.0277 -3.0277 3.0277
3.0277 3.0277 -3.0277
Pr Fe
1 6
direct
0.0000 0.0000 0.0000
0.2500 0.5000 0.7500
0.2500 0.7500 0.5000
0.5000 0.2500 0.7500
0.5000 0.7500 0.2500
0.7500 0.2500 0.5000
0.7500 0.5000 0.2500
```

Record 7
Density functional theory data (PBE-GGA) for Pr3Fe after structural relaxation.

The structure in POSCAR format:
```
Pr3Fe
1.0
-1.8421 5.4887 2.8803
1.8421 -5.4887 2.8803
1.8421 5.4887 -2.8803
Pr Fe
3 1
direct
0.0000 0.0000 0.0000
0.3099 0.5016 0.8084
0.6932 0.5016 0.1916
0.5626 0.0626 0.5000
```

Record 8
Density functional theory data (PBE-GGA) for PrFePt after structural relaxation.

The structure in POSCAR format:
```
PrFePt
1.0
3.5317 0.0000 0.0000
0.0000 3.5317 0.0000
0.0000 0.0000 9.8640
Pr Fe Pt
2 2 2
direct
0.0000 0.0000 0.1854
0.0000 0.0000 0.8146
0.5000 0.5000 0.3896
0.5000 0.5000 0.6104
0.0000 0.0000 0.5000
0.5000 0.5000 0.0000
```

Record 9
Density functional theory data (PBE-GGA) for PrPu2Fe9 after structural relaxation.

The structure in POSCAR format:
```
PrPu2Fe9
1.0
2.5067 1.4473 8.2978
-2.5067 1.4473 8.2978
0.0000 -2.8945 8.2978
Pr Pu Fe
1 2 9
direct
0.0000 0.0000 0.0000
0.1470 0.1470 0.1470
0.8530 0.8530 0.8530
0.0804 0.5826 0.5826
0.3339 0.3339 0.3339
0.4174 0.4174 0.9196
0.4174 0.9196 0.4174
0.5000 0.5000 0.5000
0.5826 0.0804 0.5826
0.5826 0.5826 0.0804
0.6661 0.6661 0.6661
0.9196 0.4174 0.4174
```

Record 10
Density functional theory data (PBE-GGA) for Pr3Pu2Fe4 after structural relaxation.

The structure in POSCAR format:
```
Pr3Pu2Fe4
1.0
5.6544 -2.0330 0.0000
5.6544 2.0330 0.0000
-2.2311 0.0000 8.3818
Pr Pu Fe
3 2 4
direct
0.0000 0.0000 0.0000
0.3754 0.3754 0.6192
0.6246 0.6246 0.3808
0.3279 0.3279 0.2180
0.6721 0.6721 0.7820
0.0848 0.0848 0.6383
0.2636 0.2636 0.9104
0.7364 0.7364 0.0896
0.9152 0.9152 0.3617
```

Record 11
Density functional theory data (PBE-GGA) for PrPuFe after structural relaxation.

The structure in POSCAR format:
```
PrPuFe
1.0
6.9587 0.0000 0.0000
0.0000 6.5674 0.0000
-4.0989 0.0000 6.5843
Pr Pu Fe
4 4 4
direct
0.1654 0.1712 0.3998
0.1654 0.3288 0.8998
0.8346 0.6712 0.1002
0.8346 0.8288 0.6002
0.3418 0.6796 0.6232
0.3418 0.8204 0.1232
0.6582 0.1796 0.8768
0.6582 0.3204 0.3768
0.3470 0.5574 0.3194
0.3470 0.9426 0.8194
0.6530 0.0574 0.1806
0.6530 0.4426 0.6806
```

Record 12
Density functional theory data (PBE-GGA) for PrPu3Fe after structural relaxation.

The structure in POSCAR format:
```
PrPu3Fe
1.0
5.1684 0.0000 0.0000
0.0000 5.1684 0.0000
0.0000 0.0000 5.1684
Pr Pu Fe
1 3 1
direct
0.0000 0.0000 0.0000
0.0000 0.5000 0.5000
0.5000 0.0000 0.5000
0.5000 0.5000 0.0000
0.5000 0.5000 0.5000
```

Record 13
Density functional theory data (PBE-GGA) for PrFeRe after structural relaxation.

The structure in POSCAR format:
```
PrFeRe
1.0
6.8230 0.0000 0.0000
0.0000 6.8230 0.0000
0.0000 0.0000 5.9113
Pr Fe Re
4 4 4
direct
0.2371 0.2371 0.0000
0.2629 0.7371 0.2500
0.7371 0.2629 0.7500
0.7629 0.7629 0.5000
0.1408 0.8592 0.7500
0.3592 0.3592 0.5000
0.6408 0.6408 0.0000
0.8592 0.1408 0.2500
0.1170 0.1170 0.5000
0.3830 0.6170 0.7500
0.6170 0.3830 0.2500
0.8830 0.8830 0.0000
```

Number 1: energy of formation -0.03 eV/atom, DOS(E_F) 0.88 states/eV per atom. Number 2: energy of formation 0.20 eV/atom, DOS(E_F) 1.31 states/eV per atom. Number 3: energy of formation 0.05 eV/atom, DOS(E_F) 1.51 states/eV per atom. Number 4: energy of formation -0.07 eV/atom, DOS(E_F) 0.98 states/eV per atom. Number 5: energy of formation 2.14 eV/atom, DOS(E_F) 1.64 states/eV per atom. Number 6: energy of formation 0.56 eV/atom, DOS(E_F) 1.47 states/eV per atom. Number 7: energy of formation 0.21 eV/atom, DOS(E_F) 1.44 states/eV per atom. Number 8: energy of formation -0.26 eV/atom, DOS(E_F) 0.97 states/eV per atom. Number 9: energy of formation 0.15 eV/atom, DOS(E_F) 2.06 states/eV per atom. Number 10: energy of formation -0.03 eV/atom, DOS(E_F) 1.11 states/eV per atom. Number 11: energy of formation 0.04 eV/atom, DOS(E_F) 2.09 states/eV per atom. Number 12: energy of formation 0.24 eV/atom, DOS(E_F) 3.74 states/eV per atom. Number 13: energy of formation 0.58 eV/atom, DOS(E_F) 1.52 states/eV per atom.